Entry 1:
This record from Alexandria describes a geometry-optimized Ta3CoAs structure. The functional is GGA-PBE.

a b c (Å): 4.591 4.591 4.591
angles (deg): 90.00 90.00 90.00
Sites, in units of the cell vectors:
1 As 0.500 0.500 0.500
2 Ta 0.500 0.000 0.000
3 Ta 0.000 0.500 0.000
4 Ta 0.000 0.000 0.500
5 Co 0.000 0.000 0.000

Properties
The value obtained for the energy of formation is 0.717 eV/atom. For the total energy, the calculation gives -8.7461 eV/atom. The calculation puts the energy above the most stable polymorph in this dataset at 0.000 eV/atom.

***

Entry 2:
This record from Alexandria describes a geometry-optimized GdPuP structure. The functional is GGA-PBE.

a b c (Å): 6.422 3.828 3.828
angles (deg): 120.00 90.00 90.00
Each line ends with the local moment (μB).
Sites, in units of the cell vectors:
1 P 0.334 0.333 0.667  -0.09
2 Pu 0.071 0.000 0.000  5.42
3 Gd 0.595 0.667 0.333  7.29

Properties
The value obtained for the energy of formation is -0.718 eV/atom. For the total energy, the calculation gives -11.9925 eV/atom. The calculation puts the energy above the most stable polymorph in this dataset at 0.000 eV/atom.

***

Entry 3:
This record from Alexandria describes a geometry-optimized LaScTa2 structure. The functional is GGA-PBE.

a b c (Å): 5.025 5.025 3.481
angles (deg): 90.00 90.00 90.00
Sites, in units of the cell vectors:
1 Ta 0.000 0.000 0.000
2 Ta 0.500 0.500 0.000
3 La 0.500 0.000 0.500
4 Sc 0.000 0.500 0.500

Properties
The value obtained for the energy of formation is 0.638 eV/atom. For the total energy, the calculation gives -8.1029 eV/atom. The calculation puts the energy above the most stable polymorph in this dataset at 0.431 eV/atom.

***

Entry 4:
This record from Alexandria describes a geometry-optimized CsAl2Cr structure. The functional is GGA-PBE.

a b c (Å): 5.291 5.291 5.291
angles (deg): 60.00 60.00 60.00
Each line ends with the local moment (μB).
Sites, in units of the cell vectors:
1 Al 0.750 0.750 0.750  -0.01
2 Al 0.250 0.250 0.250  -0.01
3 Cs 0.500 0.500 0.500  0.03
4 Cr 0.000 0.000 0.000  3.89

Properties
The value obtained for the energy of formation is 0.988 eV/atom. For the total energy, the calculation gives -3.5028 eV/atom.

***

Entry 5:
This record from Alexandria describes a geometry-optimized PmNi6As4 structure. The functional is GGA-PBE.

a b c (Å): 3.824 6.880 6.880
angles (deg): 120.00 90.00 90.00
Sites, in units of the cell vectors:
1 Ni 0.500 0.205 0.410
2 Ni 0.000 0.924 0.462
3 Ni 0.000 0.538 0.076
4 Ni 0.000 0.538 0.462
5 Ni 0.500 0.590 0.795
6 Ni 0.500 0.205 0.795
7 Pm 0.000 0.000 0.000
8 As 0.500 0.810 0.621
9 As 0.500 0.810 0.190
10 As 0.000 0.333 0.667
11 As 0.500 0.379 0.190

Properties
The value obtained for the energy of formation is -0.473 eV/atom. For the total energy, the calculation gives -5.7492 eV/atom.

***

Entry 6:
This record from Alexandria describes a geometry-optimized Cr2H structure. The functional is GGA-PBE.

a b c (Å): 5.124 5.124 5.124
angles (deg): 79.12 66.09 113.91
Sites, in units of the cell vectors:
1 Cr 0.990 0.782 0.724
2 Cr 0.511 0.787 0.207
3 Cr 0.489 0.213 0.793
4 Cr 0.989 0.707 0.287
5 Cr 0.490 0.776 0.718
6 Cr 0.011 0.293 0.713
7 Cr 0.010 0.218 0.276
8 Cr 0.510 0.224 0.282
9 H 0.500 0.500 0.000
10 H 0.000 0.000 0.000
11 H 0.000 0.500 0.000
12 H 0.500 0.500 0.500

Properties
For the total energy, the calculation gives -7.4698 eV/atom.

***

Calculated values (states/eV/atom) of DOS at the Fermi energy for the records, taken in order: 1.002 3.002 1.413 0.798 0.582 1.100.